1.
Ho3Sc2Tl | PBE-GGA | relaxed

Computed properties:
Crystal system   orthorhombic
Total magnetic moment   0.7 μB per formula unit
Symmetry   Cmcm
Formation energy from the elements   -0.07 eV/atom

Cell: 8.7519 8.7519 6.7439 Å, 90.00 90.00 40.69°
Closest atoms and distances in Å follow each position.
Sites, in units of the cell vectors:
Ho: 0.1480 0.2329 0.7500  4 Sc 3.33-3.38, 5 Ho 3.39-3.62, 1 Tl 3.52
Ho: 0.1750 0.8250 0.7500  2 Tl 2.95-3.14
Ho: 0.2329 0.1480 0.2500  4 Sc 3.33-3.38, 5 Ho 3.39-3.62, 1 Tl 3.52
Ho: 0.7671 0.8520 0.7500  4 Sc 3.33-3.38, 5 Ho 3.39-3.62, 1 Tl 3.52
Ho: 0.8250 0.1750 0.2500  2 Tl 2.95-3.14
Ho: 0.8520 0.7671 0.2500  4 Sc 3.33-3.38, 5 Ho 3.39-3.62, 1 Tl 3.52
Sc: 0.3647 0.3647 0.0000  2 Tl 3.02, 4 Ho 3.33-3.38, 2 Sc 3.37
Sc: 0.3647 0.3647 0.5000  2 Tl 3.02, 4 Ho 3.33-3.38, 2 Sc 3.37
Sc: 0.6353 0.6353 0.0000  2 Tl 3.02, 4 Ho 3.33-3.38, 2 Sc 3.37
Sc: 0.6353 0.6353 0.5000  2 Tl 3.02, 4 Ho 3.33-3.38, 2 Sc 3.37
Tl: 0.3090 0.6910 0.2500  2 Ho 2.95-3.14, 4 Sc 3.02
Tl: 0.6910 0.3090 0.7500  2 Ho 2.95-3.14, 4 Sc 3.02


2.
Ho5ScTl3 | PBE-GGA | relaxed

Computed properties:
Crystal system   hexagonal
Total magnetic moment   1.1 μB per formula unit
Symmetry   P6_3/mcm
Formation energy from the elements   -0.25 eV/atom

Cell: 9.2675 9.2675 6.6202 Å, 90.00 90.00 120.00°
Closest atoms and distances in Å follow each position.
Sites, in units of the cell vectors:
Ho: 0.0000 0.3234 0.2500  5 Tl 3.07-3.31, 2 Sc 3.42
Ho: 0.0000 0.6766 0.7500  5 Tl 3.07-3.31, 2 Sc 3.42
Ho: 0.3234 0.0000 0.2500  5 Tl 3.07-3.31, 2 Sc 3.42
Ho: 0.3234 0.3234 0.7500  5 Tl 3.07-3.31, 2 Sc 3.42
Ho: 0.3333 0.6667 0.0000  8 Ho 3.31-3.55, 6 Tl 3.48
Ho: 0.3333 0.6667 0.5000  8 Ho 3.31-3.55, 6 Tl 3.48
Ho: 0.6667 0.3333 0.0000  8 Ho 3.31-3.55, 6 Tl 3.48
Ho: 0.6667 0.3333 0.5000  8 Ho 3.31-3.55, 6 Tl 3.48
Ho: 0.6766 0.0000 0.7500  5 Tl 3.07-3.31, 2 Sc 3.42
Ho: 0.6766 0.6766 0.2500  5 Tl 3.07-3.31, 2 Sc 3.42
Sc: 0.0000 0.0000 0.0000  2 Sc 3.31, 6 Ho 3.42, 6 Tl 3.55
Sc: 0.0000 0.0000 0.5000  2 Sc 3.31, 6 Ho 3.42, 6 Tl 3.55
Tl: 0.0000 0.3390 0.7500  5 Ho 3.07-3.31
Tl: 0.0000 0.6610 0.2500  5 Ho 3.07-3.31
Tl: 0.3390 0.0000 0.7500  5 Ho 3.07-3.31
Tl: 0.3390 0.3390 0.2500  5 Ho 3.07-3.31
Tl: 0.6610 0.0000 0.2500  5 Ho 3.07-3.31
Tl: 0.6610 0.6610 0.7500  5 Ho 3.07-3.31


3.
Ho2ScTl3 | PBE-GGA | relaxed

Computed properties:
Crystal system   tetragonal
Total magnetic moment   0.0 μB per formula unit
Symmetry   P4/mmm
Formation energy from the elements   -0.30 eV/atom

Cell: 3.6150 3.6150 11.8838 Å, 90.00 90.00 90.00°
Closest atoms and distances in Å follow each position.
Sites, in units of the cell vectors:
Ho: 0.0000 0.0000 0.1722  8 Tl 3.27-3.28, 4 Ho 3.62
Ho: 0.0000 0.0000 0.8278  8 Tl 3.27-3.28, 4 Ho 3.62
Sc: 0.0000 0.0000 0.5000  8 Tl 3.15
Tl: 0.5000 0.5000 0.0000  8 Ho 3.27, 4 Tl 3.62
Tl: 0.5000 0.5000 0.3448  4 Sc 3.15, 4 Ho 3.28
Tl: 0.5000 0.5000 0.6552  4 Sc 3.15, 4 Ho 3.28


4.
Ho2Sc2Tl3 | PBE-GGA | relaxed

Computed properties:
Crystal system   orthorhombic
Total magnetic moment   0.2 μB per formula unit
Symmetry   Cmmm
Formation energy from the elements   -0.16 eV/atom

Cell: 4.4961 23.8083 3.3618 Å, 90.00 90.00 90.00°
Closest atoms and distances in Å follow each position.
Sites, in units of the cell vectors:
Ho: 0.0000 0.0732 0.0000  1 Sc 3.17, 8 Tl 3.30-3.42, 3 Ho 3.36-3.48
Ho: 0.0000 0.9268 0.0000  1 Sc 3.17, 8 Tl 3.30-3.42, 3 Ho 3.36-3.48
Ho: 0.5000 0.4268 0.0000  1 Sc 3.17, 8 Tl 3.30-3.42, 3 Ho 3.36-3.48
Ho: 0.5000 0.5732 0.0000  1 Sc 3.17, 8 Tl 3.30-3.42, 3 Ho 3.36-3.48
Sc: 0.0000 0.2064 0.0000  4 Tl 3.06, 4 Sc 3.06-3.36, 1 Ho 3.17
Sc: 0.0000 0.7936 0.0000  4 Tl 3.06, 4 Sc 3.06-3.36, 1 Ho 3.17
Sc: 0.5000 0.2936 0.0000  4 Tl 3.06, 4 Sc 3.06-3.36, 1 Ho 3.17
Sc: 0.5000 0.7064 0.0000  4 Tl 3.06, 4 Sc 3.06-3.36, 1 Ho 3.17
Tl: 0.0000 0.3444 0.5000  4 Sc 3.06, 2 Tl 3.36
Tl: 0.0000 0.5000 0.5000  8 Ho 3.30, 2 Tl 3.36
Tl: 0.0000 0.6556 0.5000  4 Sc 3.06, 2 Tl 3.36
Tl: 0.5000 0.0000 0.5000  8 Ho 3.30, 2 Tl 3.36
Tl: 0.5000 0.1556 0.5000  4 Sc 3.06, 2 Tl 3.36
Tl: 0.5000 0.8444 0.5000  4 Sc 3.06, 2 Tl 3.36


5.
Ho6ScTl5 | PBE-GGA | relaxed

Computed properties:
Crystal system   monoclinic
Total magnetic moment   0.0 μB per formula unit
Relative energy among the computed polymorphs   1.18 eV per formula unit
Symmetry   C2/m
Formation energy from the elements   -0.17 eV/atom

Cell: 7.4630 7.4630 6.3159 Å, 97.84 97.84 94.39°
Closest atoms and distances in Å follow each position.
Sites, in units of the cell vectors:
Ho: 0.0622 0.4070 0.7398  5 Tl 3.17-3.36, 1 Sc 3.43, 1 Ho 3.54
Ho: 0.2295 0.2295 0.2249  5 Tl 3.17-3.34, 1 Sc 3.33
Ho: 0.4070 0.0622 0.7398  5 Tl 3.17-3.36, 1 Sc 3.43, 1 Ho 3.54
Ho: 0.5930 0.9378 0.2602  5 Tl 3.17-3.36, 1 Sc 3.43, 1 Ho 3.54
Ho: 0.7705 0.7705 0.7751  5 Tl 3.17-3.34, 1 Sc 3.33
Ho: 0.9378 0.5930 0.2602  5 Tl 3.17-3.36, 1 Sc 3.43, 1 Ho 3.54
Sc: 0.5000 0.5000 0.0000  6 Tl 3.29-3.53, 6 Ho 3.33-3.43
Tl: 0.0000 0.0000 0.5000  6 Ho 3.17
Tl: 0.1997 0.8003 0.0000  6 Ho 3.17-3.30, 1 Sc 3.29
Tl: 0.3553 0.6447 0.5000  1 Tl 3.17, 6 Ho 3.24-3.36, 2 Sc 3.53
Tl: 0.6447 0.3553 0.5000  1 Tl 3.17, 6 Ho 3.24-3.36, 2 Sc 3.53
Tl: 0.8003 0.1997 0.0000  6 Ho 3.17-3.30, 1 Sc 3.29


6.
HoSc2Tl2 | PBE-GGA | relaxed

Computed properties:
Crystal system   orthorhombic
Total magnetic moment   1.4 μB per formula unit
Relative energy among the computed polymorphs   0.89 eV per formula unit
Symmetry   Cmmm
Formation energy from the elements   0.09 eV/atom

Cell: 5.2812 7.9079 6.5348 Å, 90.00 90.00 90.00°
Closest atoms and distances in Å follow each position.
Sites, in units of the cell vectors:
Ho: 0.0000 0.0000 0.0000  4 Tl 3.12
Ho: 0.5000 0.5000 0.0000  4 Tl 3.12
Sc: 0.0000 0.1775 0.5000  3 Sc 2.81-2.88, 2 Tl 3.02
Sc: 0.0000 0.8225 0.5000  3 Sc 2.81-2.88, 2 Tl 3.02
Sc: 0.5000 0.3225 0.5000  3 Sc 2.81-2.88, 2 Tl 3.02
Sc: 0.5000 0.6775 0.5000  3 Sc 2.81-2.88, 2 Tl 3.02
Tl: 0.0000 0.5000 0.2537  2 Sc 3.02, 2 Ho 3.12, 2 Tl 3.22-3.32
Tl: 0.0000 0.5000 0.7463  2 Sc 3.02, 2 Ho 3.12, 2 Tl 3.22-3.32
Tl: 0.5000 0.0000 0.2537  2 Sc 3.02, 2 Ho 3.12, 2 Tl 3.22-3.32
Tl: 0.5000 0.0000 0.7463  2 Sc 3.02, 2 Ho 3.12, 2 Tl 3.22-3.32


Q: Look up the formation energy from the elements of the first one.
A: -0.07 eV/atom